Material: Sr3Li9Au2
Method: DFT, GGA-PBE
State: relaxed

Cell and atoms, written as POSCAR:
```
Sr3Li9Au2
1.0
4.549 0.000 1.269
1.629 8.383 2.948
-0.066 -0.457 9.023
Li Sr Au
9 3 2
direct
0.325 0.336 0.015 Li
0.106 0.616 0.172 Li
0.000 0.500 0.500 Li
0.894 0.828 0.384 Li
0.894 0.384 0.828 Li
0.675 0.985 0.664 Li
0.325 0.015 0.336 Li
0.106 0.172 0.616 Li
0.675 0.664 0.985 Li
0.327 0.673 0.673 Sr
0.673 0.327 0.327 Sr
0.000 0.000 0.000 Sr
0.500 0.718 0.282 Au
0.500 0.282 0.718 Au
```

Summary:
As for the energy of formation from the pure elements: -0.2054 eV per atom. The calculation puts the density at 3.41 Mg/m³.

=====

Material: Sr4LiAu
Method: DFT, GGA-PBE
State: relaxed

Cell and atoms, written as POSCAR:
```
Sr4LiAu
1.0
-3.012 0.824 -2.576
0.176 -3.788 -1.417
-9.592 -4.144 9.888
Sr Li Au
4 1 1
direct
0.500 0.500 0.850 Sr
0.000 0.000 0.625 Sr
0.000 0.000 0.375 Sr
0.500 0.500 0.150 Sr
0.000 0.000 0.000 Li
0.500 0.500 0.500 Au
```

Summary:
As for the energy of formation from the pure elements: -0.2389 eV per atom. The energy above the most stable polymorph in this dataset comes out at 4 meV per atom. The calculation puts the density at 3.91 Mg/m³.

=====

Material: Sr4LiAu2
Method: DFT, GGA-PBE
State: relaxed

Cell and atoms, written as POSCAR:
```
Sr4LiAu2
1.0
-6.213 3.988 -3.163
-4.932 -5.470 -3.205
-1.509 -0.243 8.595
Li Sr Au
2 8 4
direct
0.828 0.828 0.190 Li
0.816 0.816 0.685 Li
0.131 0.131 0.347 Sr
0.127 0.127 0.835 Sr
0.608 0.608 0.337 Sr
0.166 0.638 0.480 Sr
0.638 0.166 0.480 Sr
0.626 0.154 0.970 Sr
0.154 0.626 0.970 Sr
0.609 0.609 0.825 Sr
0.447 0.925 0.619 Au
0.925 0.447 0.619 Au
0.339 0.339 0.697 Au
0.336 0.336 0.195 Au
```

Summary:
As for the energy of formation from the pure elements: -0.4512 eV per atom. The calculation puts the density at 4.92 Mg/m³.

=====

Material: Sr2LiAu
Method: DFT, GGA-PBE
State: relaxed

Cell and atoms, written as POSCAR:
```
Sr2LiAu
1.0
-4.015 -1.127 1.643
-0.370 -3.387 2.912
-0.287 4.164 8.236
Li Au Sr
1 1 2
direct
0.250 0.250 0.250 Li
0.750 0.750 0.750 Au
0.017 0.017 0.950 Sr
0.483 0.483 0.550 Sr
```

Summary:
As for the energy of formation from the pure elements: -0.3119 eV per atom. The energy above the most stable polymorph in this dataset comes out at 118 meV per atom. The calculation puts the density at 4.09 Mg/m³.

=====

Material: Sr2LiAu
Method: DFT, GGA-PBE
State: relaxed

Cell and atoms, written as POSCAR:
```
Sr2LiAu
1.0
1.027 -4.284 3.414
0.783 0.901 5.444
-3.862 -1.621 3.676
Sr Li Au
2 1 1
direct
0.750 0.750 0.750 Sr
0.250 0.250 0.250 Sr
0.000 0.000 0.000 Li
0.500 0.500 0.500 Au
```

Summary:
As for the energy of formation from the pure elements: -0.3445 eV per atom. The energy above the most stable polymorph in this dataset comes out at 85 meV per atom. The calculation puts the density at 5.14 Mg/m³.

=====

Material: Sr3Li2Au2
Method: DFT, GGA-PBE
State: relaxed

Cell and atoms, written as POSCAR:
```
Sr3Li2Au2
1.0
-5.702 -1.766 -3.367
4.323 -4.903 -4.750
-2.183 -11.200 9.574
Au Li Sr
8 8 12
direct
0.814 0.127 0.750 Au
0.186 0.873 0.250 Au
0.186 0.627 0.750 Au
0.814 0.373 0.250 Au
0.708 0.750 0.500 Au
0.292 0.250 0.500 Au
0.292 0.250 0.000 Au
0.708 0.750 0.000 Au
0.404 0.570 0.573 Li
0.404 0.570 0.927 Li
0.596 0.070 0.927 Li
0.404 0.930 0.073 Li
0.404 0.930 0.427 Li
0.596 0.430 0.073 Li
0.596 0.430 0.427 Li
0.596 0.070 0.573 Li
0.914 0.419 0.613 Sr
0.914 0.081 0.113 Sr
0.385 0.278 0.750 Sr
0.615 0.722 0.250 Sr
0.086 0.581 0.387 Sr
0.086 0.919 0.887 Sr
0.086 0.581 0.113 Sr
0.385 0.222 0.250 Sr
0.914 0.419 0.887 Sr
0.914 0.081 0.387 Sr
0.615 0.778 0.750 Sr
0.086 0.919 0.613 Sr
```

Summary:
As for the energy of formation from the pure elements: -0.4868 eV per atom. The calculation puts the density at 5.40 Mg/m³.

=====

Material: Sr5LiAu2
Method: DFT, GGA-PBE
State: relaxed

Cell and atoms, written as POSCAR:
```
Sr5LiAu2
1.0
-1.136 -7.845 3.370
8.239 -1.900 -1.647
-1.466 7.666 6.345
Li Sr Au
2 10 4
direct
0.750 0.750 0.500 Li
0.250 0.250 0.500 Li
0.972 0.472 0.270 Sr
0.528 0.702 0.730 Sr
0.702 0.202 0.730 Sr
0.798 0.972 0.270 Sr
0.000 0.000 0.000 Sr
0.500 0.500 0.000 Sr
0.202 0.028 0.730 Sr
0.472 0.298 0.270 Sr
0.298 0.798 0.270 Sr
0.028 0.528 0.730 Sr
0.134 0.366 0.000 Au
0.866 0.634 0.000 Au
0.634 0.134 0.000 Au
0.366 0.866 0.000 Au
```

Summary:
As for the energy of formation from the pure elements: -0.4342 eV per atom. The calculation puts the density at 4.69 Mg/m³.

=====

Material: Sr8Li2Au
Method: DFT, GGA-PBE
State: relaxed

Cell and atoms, written as POSCAR:
```
Sr8Li2Au
1.0
6.099 0.000 0.000
0.000 7.890 0.081
-3.050 -3.286 9.834
Sr Li Au
8 2 1
direct
0.589 0.418 0.179 Sr
0.022 0.789 0.044 Sr
0.411 0.582 0.821 Sr
0.351 0.038 0.703 Sr
0.794 0.695 0.587 Sr
0.649 0.962 0.297 Sr
0.978 0.211 0.956 Sr
0.206 0.305 0.413 Sr
0.183 0.724 0.365 Li
0.817 0.276 0.635 Li
0.500 0.000 0.000 Au
```

Summary:
As for the energy of formation from the pure elements: -0.1032 eV per atom. The energy above the most stable polymorph in this dataset comes out at 12 meV per atom. The calculation puts the density at 3.19 Mg/m³.

=====

Material: Sr2Li5Au3
Method: DFT, GGA-PBE
State: relaxed

Cell and atoms, written as POSCAR:
```
Sr2Li5Au3
1.0
-2.157 1.435 -3.642
-6.530 -2.439 2.906
-0.821 11.399 7.720
Li Au Sr
10 6 4
direct
0.293 0.906 0.587 Li
0.134 0.242 0.267 Li
0.707 0.406 0.413 Li
0.595 0.885 0.189 Li
0.405 0.385 0.811 Li
0.866 0.742 0.733 Li
0.287 0.533 0.574 Li
0.941 0.102 0.881 Li
0.713 0.033 0.426 Li
0.059 0.602 0.119 Li
0.386 0.025 0.773 Au
0.765 0.717 0.529 Au
0.955 0.465 0.909 Au
0.614 0.525 0.227 Au
0.045 0.965 0.091 Au
0.235 0.217 0.471 Au
0.823 0.226 0.647 Sr
0.177 0.726 0.353 Sr
0.474 0.764 0.949 Sr
0.526 0.264 0.051 Sr
```

Summary:
As for the energy of formation from the pure elements: -0.4566 eV per atom. The calculation puts the density at 5.79 Mg/m³.

=====

Material: SrLiAu2
Method: DFT, GGA-PBE
State: relaxed

Cell and atoms, written as POSCAR:
```
SrLiAu2
1.0
5.007 0.000 0.000
2.503 4.336 0.000
2.503 1.445 4.088
Au Li Sr
2 1 1
direct
0.250 0.250 0.250 Au
0.000 0.000 0.000 Au
0.500 0.500 0.500 Li
0.750 0.750 0.750 Sr
```

Summary:
As for the energy of formation from the pure elements: -0.4694 eV per atom. The energy above the most stable polymorph in this dataset comes out at 201 meV per atom. The calculation puts the density at 9.14 Mg/m³.

=====

Material: Sr2LiAu
Method: DFT, GGA-PBE
State: relaxed

Cell and atoms, written as POSCAR:
```
Sr2LiAu
1.0
4.604 0.000 0.000
0.000 4.610 -0.003
0.000 2.306 6.113
Sr Au Li
2 1 1
direct
0.000 0.980 0.916 Sr
0.500 0.265 0.346 Sr
0.000 0.686 0.503 Au
0.500 0.570 0.735 Li
```

Summary:
As for the energy of formation from the pure elements: -0.4257 eV per atom. The energy above the most stable polymorph in this dataset comes out at 4 meV per atom. The calculation puts the density at 4.85 Mg/m³.

=====

Material: SrLi3Au
Method: DFT, GGA-PBE
State: relaxed

Cell and atoms, written as POSCAR:
```
SrLi3Au
1.0
-4.024 0.808 -1.555
-2.979 -3.953 5.655
-1.152 5.195 5.681
Li Au Sr
6 2 2
direct
0.881 0.702 0.871 Li
0.381 0.977 0.302 Li
0.381 0.449 0.766 Li
0.381 0.974 0.935 Li
0.881 0.697 0.504 Li
0.881 0.226 0.041 Li
0.381 0.814 0.660 Au
0.881 0.861 0.146 Au
0.881 0.139 0.588 Sr
0.381 0.536 0.217 Sr
```

Summary:
As for the energy of formation from the pure elements: -0.3161 eV per atom. The energy above the most stable polymorph in this dataset comes out at 0 meV per atom. The calculation puts the density at 4.09 Mg/m³.

=====

Material: Sr2LiAu
Method: DFT, GGA-PBE
State: relaxed

Cell and atoms, written as POSCAR:
```
Sr2LiAu
1.0
4.429 0.000 0.981
2.107 3.898 0.974
0.495 0.317 8.255
Au Sr Li
1 2 1
direct
0.136 0.899 0.830 Au
0.892 0.656 0.560 Sr
0.713 0.475 0.098 Sr
0.469 0.232 0.829 Li
```

Summary:
As for the energy of formation from the pure elements: -0.4297 eV per atom. The energy above the most stable polymorph in this dataset comes out at 0 meV per atom. The calculation puts the density at 4.50 Mg/m³.

=====

Material: Sr4LiAu
Method: DFT, GGA-PBE
State: relaxed

Cell and atoms, written as POSCAR:
```
Sr4LiAu
1.0
-5.348 -3.823 3.176
7.601 -3.800 3.494
-1.277 8.792 2.408
Sr Li Au
8 2 2
direct
0.357 0.943 0.655 Sr
0.350 0.647 0.868 Sr
0.982 0.779 0.132 Sr
0.018 0.221 0.868 Sr
0.798 0.712 0.655 Sr
0.643 0.057 0.345 Sr
0.650 0.353 0.132 Sr
0.202 0.288 0.345 Sr
0.383 0.633 0.266 Li
0.617 0.367 0.734 Li
0.249 0.999 0.999 Au
0.751 0.001 0.001 Au
```

Summary:
As for the energy of formation from the pure elements: -0.2433 eV per atom. The energy above the most stable polymorph in this dataset comes out at 0 meV per atom. The calculation puts the density at 3.70 Mg/m³.

=====

Material: Sr5Li4Au4
Method: DFT, GGA-PBE
State: relaxed

Cell and atoms, written as POSCAR:
```
Sr5Li4Au4
1.0
4.408 0.000 1.121
2.204 8.848 0.560
0.024 0.000 9.136
Sr Li Au
5 4 4
direct
0.628 0.663 0.081 Sr
0.709 0.919 0.663 Sr
0.291 0.081 0.337 Sr
0.372 0.337 0.919 Sr
0.000 0.000 0.000 Sr
0.100 0.473 0.327 Li
0.900 0.527 0.673 Li
0.427 0.673 0.473 Li
0.573 0.327 0.527 Li
0.263 0.680 0.793 Au
0.737 0.320 0.207 Au
0.056 0.207 0.680 Au
0.944 0.793 0.320 Au
```

Summary:
As for the energy of formation from the pure elements: -0.5283 eV per atom. The calculation puts the density at 5.85 Mg/m³.

=====

Material: SrLiTa2Au
Method: DFT, GGA-PBE
State: relaxed

Cell and atoms, written as POSCAR:
```
SrLiTa2Au
1.0
-4.281 1.452 2.413
1.962 -1.497 4.381
1.983 4.671 0.708
Ta Sr Li Au
2 1 1 1
direct
0.000 0.000 0.500 Ta
0.500 0.000 0.000 Ta
0.500 0.500 0.500 Sr
0.000 0.500 0.000 Li
0.000 0.000 0.000 Au
```

Summary:
As for the energy of formation from the pure elements: 0.9929 eV per atom. The calculation puts the density at 8.22 Mg/m³.

=====

Material: SrLi2TbAu4
Method: DFT, GGA-PBE
State: relaxed

Cell and atoms, written as POSCAR:
```
SrLi2TbAu4
1.0
4.589 0.000 0.000
2.295 3.974 0.000
2.295 1.325 9.777
Li Au Sr Tb
2 4 1 1
direct
0.244 0.244 0.267 Li
0.756 0.756 0.733 Li
0.885 0.885 0.344 Au
0.115 0.115 0.656 Au
0.399 0.399 0.804 Au
0.601 0.601 0.196 Au
0.000 0.000 0.000 Sr
0.500 0.500 0.500 Tb
```

Summary:
As for the energy of formation from the pure elements: -0.6818 eV per atom. The calculation puts the density at 9.76 Mg/m³.

=====

Material: SrLiTb2Au4
Method: DFT, GGA-PBE
State: relaxed

Cell and atoms, written as POSCAR:
```
SrLiTb2Au4
1.0
-1.117 -4.189 2.492
0.986 -4.459 -2.037
7.994 -2.809 3.880
Au Sr Li Tb
4 1 1 2
direct
0.877 0.877 0.370 Au
0.123 0.123 0.630 Au
0.397 0.397 0.808 Au
0.603 0.603 0.192 Au
0.000 0.000 0.000 Sr
0.500 0.500 0.500 Li
0.235 0.235 0.295 Tb
0.765 0.765 0.705 Tb
```

Summary:
As for the energy of formation from the pure elements: -0.7129 eV per atom. The calculation puts the density at 10.39 Mg/m³.

=====

Material: Sr2LiTiAu
Method: DFT, GGA-PBE
State: relaxed

Cell and atoms, written as POSCAR:
```
Sr2LiTiAu
1.0
6.105 0.000 0.000
0.000 5.106 0.000
0.000 0.000 6.105
Sr Au Li Ti
2 1 1 1
direct
0.000 0.000 0.500 Sr
0.500 0.000 0.000 Sr
0.000 0.000 0.000 Au
0.500 0.500 0.500 Li
0.000 0.500 0.000 Ti
```

Summary:
As for the energy of formation from the pure elements: 0.1440 eV per atom. The calculation puts the density at 3.73 Mg/m³.

=====

Material: SrLiTlAu
Method: DFT, GGA-PBE
State: relaxed

Cell and atoms, written as POSCAR:
```
SrLiTlAu
1.0
-1.796 3.291 3.561
-4.704 -0.701 2.030
-0.494 -1.526 4.916
Tl Sr Li Au
1 1 1 1
direct
0.750 0.750 0.750 Tl
0.250 0.250 0.250 Sr
0.500 0.500 0.500 Li
0.000 0.000 0.000 Au
```

Summary:
As for the energy of formation from the pure elements: -0.3865 eV per atom. The energy above the most stable polymorph in this dataset comes out at 67 meV per atom. The calculation puts the density at 8.42 Mg/m³.